Material: ScSe2S
Method: DFT, GGA-PBEsol
State: optimized geometry

Results
Total moment: 0.00 μB/f.u.
Formation energy (no corrections): 0.6 eV/f.u.
DOS at the Fermi energy: 0.66 states/eV per atom

Geometry as CIF:
```
data_ScSe2S
_cell_length_a 3.4712
_cell_length_b 3.4712
_cell_length_c 25.2579
_cell_angle_alpha 90.00
_cell_angle_beta 90.00
_cell_angle_gamma 120.00
_symmetry_space_group_name_H-M 'R -3 m'
_symmetry_Int_Tables_number 166
_symmetry_space_group_name_Hall '-R 3 2"'
loop_
_atom_site_label
_atom_site_fract_x
_atom_site_fract_y
_atom_site_fract_z
Sc1 0.0000 0.0000 0.0000
Se1 0.0000 0.0000 0.1014
S1 0.0000 0.0000 0.5000
```

---

Material: BeTlRh2
Method: DFT, GGA-PBEsol
State: optimized geometry

Results
Total moment: 0.00 μB/f.u.
ΔH_f (0 K): 6 meV per atom
DOS at the Fermi energy: 0.33 states/eV per atom

Geometry as CIF:
```
data_BeTlRh2
_cell_length_a 4.276
_cell_length_b 4.276
_cell_length_c 3.134
_cell_angle_alpha 90.00
_cell_angle_beta 90.00
_cell_angle_gamma 90.00
_symmetry_space_group_name_H-M 'P 4/m m m'
_symmetry_Int_Tables_number 123
_symmetry_space_group_name_Hall '-P 4 2'
loop_
_atom_site_label
_atom_site_fract_x
_atom_site_fract_y
_atom_site_fract_z
Be1 0.000 0.000 0.000
Tl1 0.500 0.500 0.000
Rh1 0.000 0.500 0.500
```

---

Material: AgPt2Au
Method: DFT, GGA-PBEsol
State: optimized geometry

Results
Total moment: 0.00 μB/f.u.
ΔH_f (0 K): 62 meV per atom
DOS at the Fermi energy: 0.97 states/eV per atom

Geometry as CIF:
```
data_AgPt2Au
_cell_length_a 3.941
_cell_length_b 3.941
_cell_length_c 8.105
_cell_angle_alpha 90.00
_cell_angle_beta 90.00
_cell_angle_gamma 90.00
_symmetry_space_group_name_H-M 'I 4/m m m'
_symmetry_Int_Tables_number 139
_symmetry_space_group_name_Hall '-I 4 2'
loop_
_atom_site_label
_atom_site_fract_x
_atom_site_fract_y
_atom_site_fract_z
Ag1 0.000 0.000 0.000
Pt1 0.000 0.500 0.250
Au1 0.000 0.000 0.500
```

---

Material: BeAlB3
Method: DFT, GGA-PBEsol
State: optimized geometry

Results
Total moment: 0.00 μB/f.u.
ΔH_f (0 K): 1403 meV per atom
DOS at the Fermi energy: 0.45 states/eV per atom

Geometry as CIF:
```
data_BeAlB3
_cell_length_a 3.636
_cell_length_b 3.636
_cell_length_c 3.636
_cell_angle_alpha 90.00
_cell_angle_beta 90.00
_cell_angle_gamma 90.00
_symmetry_space_group_name_H-M 'P m -3 m'
_symmetry_Int_Tables_number 221
_symmetry_space_group_name_Hall '-P 4 2 3'
loop_
_atom_site_label
_atom_site_fract_x
_atom_site_fract_y
_atom_site_fract_z
Be1 0.000 0.000 0.000
Al1 0.500 0.500 0.500
B1 0.000 0.000 0.500
```

---

Material: SrLaMgRuO6
Method: DFT, GGA-PBEsol
State: optimized geometry

Results
Total moment: 3.01 μB/f.u.
Formation energy (no corrections): -24.5 eV/f.u.
DOS at the Fermi energy: 0.05 states/eV per atom

Geometry as CIF:
```
data_SrLaMgRuO6
_cell_length_a 5.547
_cell_length_b 5.574
_cell_length_c 9.592
_cell_angle_alpha 90.00
_cell_angle_beta 125.20
_cell_angle_gamma 90.00
_symmetry_space_group_name_H-M 'P 1 c 1'
_symmetry_Int_Tables_number 7
loop_
_symmetry_equiv_pos_as_xyz
'x,y,z'
'x,-y,z+1/2'
loop_
_atom_site_label
_atom_site_fract_x
_atom_site_fract_y
_atom_site_fract_z
Sr1 0.000 0.221 0.000
La1 0.488 0.287 0.501
Mg1 0.745 0.246 0.250
Ru1 0.245 0.249 0.750
O1 0.008 0.466 0.783
O2 0.080 0.031 0.289
O3 0.424 0.479 0.214
O4 0.486 0.044 0.711
O5 0.549 0.267 0.993
O6 0.924 0.240 0.507
```

---

Material: VF5
Method: DFT, GGA-PBEsol
State: optimized geometry

Results
Total moment: 0.03 μB/f.u.
Formation energy (no corrections): -16.3 eV/f.u.
DOS at the Fermi energy: 0.00 states/eV per atom

Geometry as CIF:
```
data_VF5
_cell_length_a 5.048
_cell_length_b 5.409
_cell_length_c 13.082
_cell_angle_alpha 90.00
_cell_angle_beta 90.00
_cell_angle_gamma 90.00
_symmetry_space_group_name_H-M 'P 21 21 21'
_symmetry_Int_Tables_number 19
loop_
_symmetry_equiv_pos_as_xyz
'x,y,z'
'-x+1/2,-y,z+1/2'
'x+1/2,-y+1/2,-z'
'-x,y+1/2,-z+1/2'
loop_
_atom_site_label
_atom_site_fract_x
_atom_site_fract_y
_atom_site_fract_z
V1 0.194 0.113 0.406
F1 0.014 0.831 0.997
F2 0.095 0.590 0.163
F3 0.106 0.885 0.494
F4 0.119 0.068 0.828
F5 0.220 0.603 0.855
```

---

Material: ZrAu2Br
Method: DFT, GGA-PBEsol
State: optimized geometry

Results
Total moment: 0.00 μB/f.u.
Formation energy (no corrections): -0.5 eV/f.u.
DOS at the Fermi energy: 0.77 states/eV per atom

Geometry as CIF:
```
data_ZrAu2Br
_cell_length_a 3.910
_cell_length_b 3.910
_cell_length_c 5.034
_cell_angle_alpha 90.00
_cell_angle_beta 90.00
_cell_angle_gamma 90.00
_symmetry_space_group_name_H-M 'P 4/m m m'
_symmetry_Int_Tables_number 123
_symmetry_space_group_name_Hall '-P 4 2'
loop_
_atom_site_label
_atom_site_fract_x
_atom_site_fract_y
_atom_site_fract_z
Zr1 0.000 0.000 0.000
Au1 0.000 0.500 0.500
Br1 0.500 0.500 0.000
```

---

Material: Sm3Er
Method: DFT, GGA-PBEsol
State: optimized geometry

Results
Total moment: 0.00 μB/f.u.
ΔH_f (0 K): 7 meV per atom
DOS at the Fermi energy: 1.32 states/eV per atom

Geometry as CIF:
```
data_Sm3Er
_cell_length_a 4.970
_cell_length_b 4.970
_cell_length_c 4.970
_cell_angle_alpha 90.00
_cell_angle_beta 90.00
_cell_angle_gamma 90.00
_symmetry_space_group_name_H-M 'P m -3 m'
_symmetry_Int_Tables_number 221
_symmetry_space_group_name_Hall '-P 4 2 3'
loop_
_atom_site_label
_atom_site_fract_x
_atom_site_fract_y
_atom_site_fract_z
Sm1 0.000 0.000 0.500
Er1 0.500 0.500 0.500
```

---

Material: Nb5S8
Method: DFT, GGA-PBEsol
State: optimized geometry

Results
Total moment: 1.47 μB/f.u.
Formation energy (no corrections): -15.4 eV/f.u.
DOS at the Fermi energy: 0.35 states/eV per atom

Geometry as CIF:
```
data_Nb5S8
_cell_length_a 5.7293
_cell_length_b 5.7293
_cell_length_c 24.7514
_cell_angle_alpha 90.00
_cell_angle_beta 90.00
_cell_angle_gamma 120.00
_symmetry_space_group_name_H-M 'P 3 1 2'
_symmetry_Int_Tables_number 149
loop_
_symmetry_equiv_pos_as_xyz
'x,y,z'
'-y,x-y,z'
'-x+y,-x,z'
'-y,-x,-z'
'-x+y,y,-z'
'x,x-y,-z'
loop_
_atom_site_label
_atom_site_fract_x
_atom_site_fract_y
_atom_site_fract_z
Nb1 0.0000 0.0000 0.0000
Nb2 0.0000 0.0000 0.1277
Nb3 0.0000 0.0000 0.3811
Nb4 0.3333 0.6667 0.1271
Nb5 0.3333 0.6667 0.3811
Nb6 0.6667 0.3333 0.1267
Nb7 0.6667 0.3333 0.2557
Nb8 0.6667 0.3333 0.3819
S1 0.0012 0.3333 0.3168
S2 0.0012 0.3334 0.4442
S3 0.0006 0.3360 0.9366
S4 0.0036 0.3346 0.8088
```

---

Material: Li2CdH
Method: DFT, GGA-PBEsol
State: optimized geometry

Results
Total moment: 0.00 μB/f.u.
Total energy: -2.284 eV per atom
DOS at the Fermi energy: 0.36 states/eV per atom

Geometry as CIF:
```
data_Li2CdH
_cell_length_a 5.509
_cell_length_b 5.509
_cell_length_c 7.499
_cell_angle_alpha 90.00
_cell_angle_beta 90.00
_cell_angle_gamma 90.00
_symmetry_space_group_name_H-M 'I -4 2 d'
_symmetry_Int_Tables_number 122
_symmetry_space_group_name_Hall 'I -4 2bw'
loop_
_atom_site_label
_atom_site_fract_x
_atom_site_fract_y
_atom_site_fract_z
Li1 0.059 0.250 0.125
Cd1 0.000 0.000 0.500
H1 0.000 0.000 0.000
```

---

Material: In2NiBrO
Method: DFT, GGA-PBEsol
State: optimized geometry

Results
Total moment: 0.21 μB/f.u.
Formation energy (no corrections): 3.7 eV/f.u.
DOS at the Fermi energy: 0.80 states/eV per atom

Geometry as CIF:
```
data_In2NiBrO
_cell_length_a 5.469
_cell_length_b 5.469
_cell_length_c 3.703
_cell_angle_alpha 90.00
_cell_angle_beta 90.00
_cell_angle_gamma 90.00
_symmetry_space_group_name_H-M 'P 4/m m m'
_symmetry_Int_Tables_number 123
_symmetry_space_group_name_Hall '-P 4 2'
loop_
_atom_site_label
_atom_site_fract_x
_atom_site_fract_y
_atom_site_fract_z
In1 0.000 0.500 0.000
Ni1 0.000 0.000 0.500
Br1 0.500 0.500 0.000
O1 0.500 0.500 0.500
```

---

Material: Ba2MoP
Method: DFT, GGA-PBEsol
State: optimized geometry

Results
Total moment: 4.03 μB/f.u.
ΔH_f (0 K): 529 meV per atom
DOS at the Fermi energy: 0.51 states/eV per atom

Geometry as CIF:
```
data_Ba2MoP
_cell_length_a 4.092
_cell_length_b 4.092
_cell_length_c 6.997
_cell_angle_alpha 90.00
_cell_angle_beta 90.00
_cell_angle_gamma 90.00
_symmetry_space_group_name_H-M 'P 4/m m m'
_symmetry_Int_Tables_number 123
_symmetry_space_group_name_Hall '-P 4 2'
loop_
_atom_site_label
_atom_site_fract_x
_atom_site_fract_y
_atom_site_fract_z
Ba1 0.000 0.000 0.227
Mo1 0.500 0.500 0.500
P1 0.500 0.500 0.000
```

---

What is the DOS at the Fermi energy in the fourth record? 0.45 states/eV per atom

---

What is the DOS at the Fermi energy in the eighth record? 1.32 states/eV per atom

---

Which formula does entry 7 have? ZrAu2Br